Compound: Na3LiMn
Source: Alexandria via LeMat-Bulk
Functional: GGA-PBE
Structure: optimized geometry Values from VASP.

```
&SYSTEM
  ibrav = 0, nat = 5, ntyp = 3
/
ATOMIC_SPECIES
Na 22.99 Na.upf
Mn 54.94 Mn.upf
Li 6.94 Li.upf
CELL_PARAMETERS angstrom
5.801 0.000 0.000
0.000 5.801 0.000
0.000 0.000 5.801
ATOMIC_POSITIONS crystal
Na 0.000 0.500 0.000
Na 0.000 0.000 0.500
Na 0.500 0.000 0.000
Mn 0.000 0.000 0.000
Li 0.500 0.500 0.500
```

Space-group type: Pm-3m (221)
Energy of formation from the pure elements: 0.709 eV per atom
Crystal system: cubic


Compound: Hf2PC
Source: Alexandria via LeMat-Bulk
Functional: GGA-PBE
Structure: optimized geometry Values from VASP.

```
&SYSTEM
  ibrav = 0, nat = 4, ntyp = 3
/
ATOMIC_SPECIES
Hf 178.49 Hf.upf
P 30.97 P.upf
C 12.01 C.upf
CELL_PARAMETERS angstrom
3.406 0.000 0.000
1.703 2.950 0.000
1.703 0.983 6.218
ATOMIC_POSITIONS crystal
Hf 0.091 0.091 0.727
Hf 0.244 0.244 0.268
P 0.668 0.668 0.997
C 0.497 0.497 0.508
```

Space-group type: R3m (160)
Energy of formation from the pure elements: -0.662 eV per atom
Crystal system: trigonal